(1)
Compound: SrHgRh2
Source: the Alexandria database
Functional: GGA-PBEsol
Structure: optimized geometry

calculated formation energy	-118	meV/atom
density of states at the Fermi level	14.815	states/eV/cell
calculated total energy	-57.47	eV per cell

Unit cell a=4.4511 b=4.4511 c=15.6089 alpha=90.00 beta=90.00 gamma=120.00
Space group R3m (No. 160, hexagonal axes)
Unique sites:
Sr 0.0000 0.0000 0.0000 x3
Hg 0.0000 0.0000 0.8007 x3
Rh 0.0000 0.0000 0.1971 x3
Rh 0.0000 0.0000 0.5271 x3

=====

(2)
Compound: SrHgRh2
Source: the Alexandria database
Functional: GGA-PBEsol
Structure: optimized geometry

calculated formation energy	115	meV/atom
density of states at the Fermi level	3.548	states/eV/cell
calculated total energy	-18.23	eV per cell

Unit cell a=3.429 b=3.429 c=6.552 alpha=90.00 beta=90.00 gamma=90.00
Space group P4/mmm (No. 123)
Unique sites:
Sr 0.000 0.000 0.000 x1
Hg 0.000 0.000 0.500 x1
Rh 0.500 0.500 0.291 x2

=====

(3)
Compound: Ta2HgRh
Source: the Alexandria database
Functional: GGA-PBEsol
Structure: optimized geometry

calculated formation energy	43	meV/atom
density of states at the Fermi level	5.350	states/eV/cell
calculated total energy	-100.91	eV per cell

Unit cell a=3.0561 b=3.0561 c=26.3204 alpha=90.00 beta=90.00 gamma=120.00
Space group R3m (No. 160, hexagonal axes)
Unique sites:
Ta 0.0000 0.0000 0.0000 x3
Ta 0.0000 0.0000 0.2489 x3
Hg 0.0000 0.0000 0.7572 x3
Rh 0.0000 0.0000 0.5113 x3

=====

(4)
Compound: TaHgRh
Source: the Alexandria database
Functional: GGA-PBEsol
Structure: optimized geometry

calculated formation energy	-93	meV/atom
density of states at the Fermi level	5.132	states/eV/cell
calculated total energy	-43.07	eV per cell

Unit cell a=2.937 b=2.937 c=11.731 alpha=90.00 beta=90.00 gamma=90.00
Space group I4mm (No. 107)
Unique sites:
Ta 0.000 0.000 0.000 x2
Hg 0.000 0.000 0.314 x2
Rh 0.000 0.000 0.640 x2

=====

(5)
Compound: Ta2HgRh
Source: the Alexandria database
Functional: GGA-PBEsol
Structure: optimized geometry

calculated formation energy	61	meV/atom
density of states at the Fermi level	5.478	states/eV/cell
calculated total energy	-67.13	eV per cell

Unit cell a=2.961 b=4.831 c=9.619 alpha=90.00 beta=90.00 gamma=90.00
Space group Imm2 (No. 44)
Unique sites:
Ta 0.000 0.000 0.000 x2
Ta 0.000 0.500 0.250 x2
Hg 0.000 0.500 0.777 x2
Rh 0.000 0.000 0.525 x2

=====

(6)
Compound: HgTe2Rh2
Source: the Alexandria database
Functional: GGA-PBEsol
Structure: optimized geometry

energy relative to the elements, uncorrected	-179	meV per atom
density of states at the Fermi level	5.363	states/eV/cell
calculated total energy	-49.58	eV per cell
offset from the most stable computed form	0.000	eV/atom

Unit cell a=3.963 b=3.963 c=14.899 alpha=90.00 beta=90.00 gamma=90.00
Space group I4/mmm (No. 139)
Unique sites:
Hg 0.000 0.000 0.000 x2
Te 0.000 0.000 0.361 x4
Rh 0.000 0.500 0.250 x4

=====

(7)
Compound: HgTe2Rh2
Source: the Alexandria database
Functional: GGA-PBEsol
Structure: optimized geometry

energy relative to the elements, uncorrected	114	meV per atom
density of states at the Fermi level	4.887	states/eV/cell
calculated total energy	-46.65	eV per cell
offset from the most stable computed form	0.293	eV/atom

Unit cell a=4.746 b=4.746 c=9.701 alpha=90.00 beta=90.00 gamma=90.00
Space group I4/mmm (No. 139)
Unique sites:
Hg 0.000 0.000 0.000 x2
Te 0.000 0.500 0.250 x4
Rh 0.000 0.000 0.369 x4

=====

(8)
Compound: Ti2HgRh2
Source: the Alexandria database
Functional: GGA-PBEsol
Structure: optimized geometry

calculated formation energy	-548	meV/atom
density of states at the Fermi level	8.591	states/eV/cell
calculated total energy	-72.46	eV per cell

Unit cell a=7.340 b=7.340 c=2.926 alpha=90.00 beta=90.00 gamma=90.00
Space group P4/mbm (No. 127)
Unique sites:
Ti 0.160 0.340 0.000 x4
Hg 0.000 0.000 0.500 x2
Rh 0.135 0.635 0.500 x4